Entry 1:
# SrAl2CdRu (GGA-PBE, relaxed)
data_SrAl2CdRu
_cell_length_a 4.772
_cell_length_b 4.772
_cell_length_c 5.257
_cell_angle_alpha 90.00
_cell_angle_beta 90.00
_cell_angle_gamma 90.00
_space_group_name_H-M_alt 'P 4/m m m'
_space_group_IT_number 123
_space_group_name_Hall '-P 4 2'
loop_
_atom_site_label
_atom_site_type_symbol
_atom_site_fract_x
_atom_site_fract_y
_atom_site_fract_z
_atom_site_occupancy
Sr1 Sr 0.000 0.000 0.000 1
Al1 Al 0.000 0.500 0.500 1
Cd1 Cd 0.500 0.500 0.000 1
Ru1 Ru 0.500 0.500 0.500 1
# magnetic moment	0.0	μB/f.u.
# theoretical density	4.93	g/cm³
# energy of formation	-0.272	eV/atom
# crystal system	tetragonal



Entry 2:
# KNa2HgTe (GGA-PBE, relaxed)
data_KNa2HgTe
_cell_length_a 5.930
_cell_length_b 5.930
_cell_length_c 6.775
_cell_angle_alpha 90.00
_cell_angle_beta 90.00
_cell_angle_gamma 90.00
_space_group_name_H-M_alt 'P 4/m m m'
_space_group_IT_number 123
_space_group_name_Hall '-P 4 2'
loop_
_atom_site_label
_atom_site_type_symbol
_atom_site_fract_x
_atom_site_fract_y
_atom_site_fract_z
_atom_site_occupancy
K1 K 0.000 0.000 0.000 1
Na1 Na 0.000 0.500 0.500 1
Hg1 Hg 0.500 0.500 0.000 1
Te1 Te 0.000 0.000 0.500 1
# magnetic moment	0.0	μB/f.u.
# theoretical density	2.88	g/cm³
# raw formation energy	-0.46	eV per atom
# crystal system	tetragonal



Entry 3:
# Np2Ge2S7 (GGA-PBE, relaxed)
data_Np2Ge2S7
_cell_length_a 7.470
_cell_length_b 11.106
_cell_length_c 7.940
_cell_angle_alpha 90.00
_cell_angle_beta 96.45
_cell_angle_gamma 90.00
_space_group_name_H-M_alt 'C 1 2/m 1'
_space_group_IT_number 12
loop_
_space_group_symop_operation_xyz
'x,y,z'
'-x,-y,-z'
'-x,y,-z'
'x,-y,z'
'x+1/2,y+1/2,z'
'-x+1/2,-y+1/2,-z'
'-x+1/2,y+1/2,-z'
'x+1/2,-y+1/2,z'
loop_
_atom_site_label
_atom_site_type_symbol
_atom_site_fract_x
_atom_site_fract_y
_atom_site_fract_z
_atom_site_occupancy
Np1 Np 0.000 0.176 0.000 1
Ge1 Ge 0.236 0.000 0.621 1
S1 S 0.000 0.500 0.500 1
S2 S 0.110 0.000 0.194 1
S3 S 0.220 0.328 0.176 1
# magnetic moment	4.1	μB/f.u.
# theoretical density	4.28	g/cm³
# raw formation energy	-0.62	eV per atom
# crystal system	monoclinic



Entry 4:
# Pm4Cu2Sn (GGA-PBE, relaxed)
data_Pm4Cu2Sn
_cell_length_a 4.9944
_cell_length_b 4.9944
_cell_length_c 27.5015
_cell_angle_alpha 90.00
_cell_angle_beta 90.00
_cell_angle_gamma 120.00
_space_group_name_H-M_alt 'R -3 m'
_space_group_IT_number 166
_space_group_name_Hall '-R 3 2"'
loop_
_atom_site_label
_atom_site_type_symbol
_atom_site_fract_x
_atom_site_fract_y
_atom_site_fract_z
_atom_site_occupancy
Pm1 Pm 0.0000 0.0000 0.1172 1
Pm2 Pm 0.0000 0.0000 0.2969 1
Cu1 Cu 0.0000 0.0000 0.4015 1
Sn1 Sn 0.0000 0.0000 0.5000 1
# magnetic moment	0.0	μB/f.u.
# theoretical density	6.92	g/cm³
# energy of formation	-0.159	eV/atom
# crystal system	trigonal